Co3O2F4 | PBE+U | relaxed

Cell lengths 9.4321, 4.5958, 4.4872 Å; angles 90.00, 90.00, 90.00 degrees
Positions (direct):
Co  0.0000  0.2469  0.0000
Co  0.1733  0.7118  0.4673
Co  0.3267  0.2882  0.9673
Co  0.5000  0.7531  0.5000
Co  0.6733  0.2882  0.9673
Co  0.8267  0.7118  0.4673
O  0.1692  0.4440  0.1656
O  0.3308  0.5560  0.6656
O  0.6692  0.5560  0.6656
O  0.8308  0.4440  0.1656
F  0.0000  0.5179  0.6629
F  0.0000  0.9101  0.2833
F  0.1630  0.0250  0.7654
F  0.3370  0.9750  0.2654
F  0.5000  0.0899  0.7833
F  0.5000  0.4821  0.1629
F  0.6630  0.9750  0.2654
F  0.8370  0.0250  0.7654

Computed properties:
Electronic total energy (Ry/atom): -0.38180
M_tot (μB/cell): 14.17